First-principles (GGA-PBE) data for crystalline TbSmY6Er2 at its relaxed geometry, as listed in Alexandria.

Lattice parameters (Å, degrees): 9.1391 14.9845 9.5854 90.00 97.67 90.00
Last column: nearest neighbours and their distance in Å.
Space group C2/c (No. 15)
Inequivalent atoms, fractional coordinates:
Tb 0.0000 0.0910 0.2500  6 Y 3.41-3.52, 2 Er 3.52
Sm 0.0000 0.4740 0.7500  4 Er 3.38-3.42, 4 Y 3.55-3.65
Y 0.0636 0.3165 0.4435  7 Y 3.41-3.74, 1 Er 3.48, 1 Sm 3.65
Y 0.0985 0.1078 0.6171  4 Y 3.24-3.54, 3 Er 3.27-3.44, 2 Tb 3.41-3.52
Y 0.2086 0.2752 0.8176  3 Y 3.24-3.58, 2 Er 3.40-3.60, 1 Tb 3.46, 1 Sm 3.55
Er 0.2480 0.4489 0.0476  6 Y 3.27-3.60, 2 Sm 3.38-3.42, 1 Tb 3.52

Values from the calculation:
The energy of formation from the pure elements comes out at 0.12 eV per atom.

=====

First-principles (GGA-PBE) data for crystalline Tb2Sm2Y4Er at its relaxed geometry, as listed in Alexandria.

Lattice parameters (Å, degrees): 18.7213 3.6060 9.5837 90.00 115.73 90.00
Last column: nearest neighbours and their distance in Å.
Space group C2/m (No. 12)
Inequivalent atoms, fractional coordinates:
Tb 0.1481 0.0000 0.1651  7 Y 3.53-3.61, 3 Sm 3.56-3.58, 2 Tb 3.61
Sm 0.1656 0.5000 0.4984  3 Y 3.54-3.56, 3 Tb 3.56-3.58, 2 Er 3.59, 4 Sm 3.61-3.63
Y 0.0190 0.5000 0.8341  4 Tb 3.54-3.61, 1 Sm 3.54, 5 Y 3.55-3.61, 2 Er 3.56
Y 0.1853 0.0000 0.8339  3 Tb 3.53-3.60, 6 Y 3.54-3.61, 1 Er 3.55, 2 Sm 3.56
Er 0.0000 0.0000 0.5000  6 Y 3.55-3.56, 4 Sm 3.59, 2 Er 3.61

Values from the calculation:
The energy of formation from the pure elements comes out at 0.00 eV per atom.

=====

First-principles (GGA-PBE) data for crystalline Tb6Sm3Y2Er at its relaxed geometry, as listed in Alexandria.

Lattice parameters (Å, degrees): 6.1951 10.7233 11.8460 90.00 99.99 90.00
Last column: nearest neighbours and their distance in Å.
Space group C2/m (No. 12)
Inequivalent atoms, fractional coordinates:
Tb 0.2490 0.1662 0.2480  1 Er 3.55, 2 Y 3.55-3.56, 6 Tb 3.56-3.58, 3 Sm 3.59-3.60
Tb 0.2495 0.0000 0.7520  1 Er 3.55, 2 Y 3.56, 6 Tb 3.57-3.58, 3 Sm 3.59-3.60
Sm 0.0000 0.1666 0.5000  6 Sm 3.57-3.58, 6 Tb 3.59-3.60
Sm 0.0000 0.5000 0.5000  6 Sm 3.58, 6 Tb 3.59-3.60
Y 0.0000 0.3333 0.0000  6 Tb 3.55-3.56, 3 Y 3.57-3.58, 3 Er 3.57-3.58
Er 0.0000 0.0000 0.0000  6 Tb 3.55, 6 Y 3.57-3.58

Values from the calculation:
The energy of formation from the pure elements comes out at 0.02 eV per atom.

=====

First-principles (GGA-PBE) data for crystalline TbSm4Y2Er2 at its relaxed geometry, as listed in Alexandria.

Lattice parameters (Å, degrees): 15.2013 5.0582 8.0090 90.00 108.41 90.00
Last column: nearest neighbours and their distance in Å.
Space group C2/m (No. 12)
Inequivalent atoms, fractional coordinates:
Tb 0.0000 0.0000 0.0000  6 Sm 3.56-3.58, 2 Y 3.57, 4 Er 3.58
Sm 0.0550 0.5000 0.3305  2 Tb 3.56, 2 Er 3.57, 4 Y 3.58-3.61, 4 Sm 3.58-3.61
Sm 0.2221 0.0000 0.3315  3 Er 3.57, 1 Tb 3.58, 3 Y 3.58-3.60, 5 Sm 3.58-3.61
Y 0.1116 0.0000 0.6685  3 Er 3.57, 1 Tb 3.57, 7 Sm 3.58-3.61, 1 Y 3.61
Er 0.1671 0.5000 0.0001  5 Sm 3.57, 3 Y 3.57, 2 Er 3.57, 2 Tb 3.58

Values from the calculation:
The energy of formation from the pure elements comes out at 0.02 eV per atom.

=====

First-principles (GGA-PBE) data for crystalline Tb5Sm2YEr at its relaxed geometry, as listed in Alexandria.

Lattice parameters (Å, degrees): 8.6202 8.6202 15.7743 90.00 90.00 90.00
Last column: nearest neighbours and their distance in Å.
Space group I4/mcm (No. 140)
Inequivalent atoms, fractional coordinates:
Tb 0.0000 0.0000 0.0000  4 Sm 3.45, 8 Tb 3.79
Tb 0.2115 0.2885 0.1398  1 Sm 3.03, 1 Er 3.11
Sm 0.1181 0.3819 0.5000  1 Sm 2.88, 2 Tb 3.03
Y 0.0000 0.0000 0.2500  10 Tb 3.54-3.94
Er 0.0000 0.5000 0.2500  4 Tb 3.11

Values from the calculation:
The energy of formation from the pure elements comes out at 0.28 eV per atom.

=====

First-principles (GGA-PBE) data for crystalline Tb5SmYEr2 at its relaxed geometry, as listed in Alexandria.

Lattice parameters (Å, degrees): 5.6034 20.0119 10.5582 90.00 90.00 90.00
Last column: nearest neighbours and their distance in Å.
Space group Cmc2_1 (No. 36)
Inequivalent atoms, fractional coordinates:
Tb 0.0000 0.0168 0.9996  2 Y 3.22, 3 Er 3.39-3.56, 2 Tb 3.60
Tb 0.0000 0.2803 0.2835  1 Y 3.06, 1 Er 3.33, 2 Tb 3.40
Tb 0.0000 0.3000 0.6828  3 Tb 3.40-3.58, 3 Sm 3.48-3.78, 2 Er 3.49, 1 Y 3.50
Tb 0.0000 0.3921 0.0000  6 Tb 3.44-3.82, 4 Er 3.55-3.59, 1 Sm 3.84
Tb 0.0000 0.4783 0.7141  2 Y 3.15-3.28, 2 Tb 3.44-3.48, 2 Er 3.46
Sm 0.0000 0.2002 0.9870  2 Er 3.42-3.67, 7 Tb 3.48-3.78, 2 Y 3.65
Y 0.0000 0.4126 0.4291  5 Tb 3.06-3.28
Er 0.0000 0.1101 0.7122  6 Tb 3.39-3.64, 1 Sm 3.42, 2 Y 3.65
Er 0.0000 0.1138 0.2934  9 Tb 3.33-3.66, 1 Sm 3.67

Values from the calculation:
The energy of formation from the pure elements comes out at 0.16 eV per atom.

=====

Question: The lowest energy of formation from the pure elements belongs to which entry?
Answer: Tb2Sm2Y4Er